Record 1
# PBE NaSnPd, relaxed
# DOS at the Fermi energy: 0.3024 states/eV/atom
# DFT formation energy: -0.35 eV per atom
data_NaSnPd
_chemical_formula_sum 'Na16 Sn16 Pd16'
_symmetry_space_group_name_H-M 'F d d d'
_symmetry_Int_Tables_number 70
_cell_length_a 7.897
_cell_length_b 11.454
_cell_length_c 13.467
_cell_angle_alpha 90.00
_cell_angle_beta 90.00
_cell_angle_gamma 90.00
loop_
_symmetry_equiv_pos_as_xyz
'x,y,z'
'-x,-y,-z'
'-x+1/4,-y+1/4,z'
'x+1/4,y+1/4,-z'
'x,-y+1/4,-z+1/4'
'-x,y+1/4,z+1/4'
'-x+1/4,y,-z+1/4'
'x+1/4,-y,z+1/4'
'x,y+1/2,z+1/2'
'-x,-y+1/2,-z+1/2'
'-x+1/4,-y+3/4,z+1/2'
'x+1/4,y+3/4,-z+1/2'
'x,-y+3/4,-z+3/4'
'-x,y+3/4,z+3/4'
'-x+1/4,y+1/2,-z+3/4'
'x+1/4,-y+1/2,z+3/4'
'x+1/2,y,z+1/2'
'-x+1/2,-y,-z+1/2'
'-x+3/4,-y+1/4,z+1/2'
'x+3/4,y+1/4,-z+1/2'
'x+1/2,-y+1/4,-z+3/4'
'-x+1/2,y+1/4,z+3/4'
'-x+3/4,y,-z+3/4'
'x+3/4,-y,z+3/4'
'x+1/2,y+1/2,z'
'-x+1/2,-y+1/2,-z'
'-x+3/4,-y+3/4,z'
'x+3/4,y+3/4,-z'
'x+1/2,-y+3/4,-z+1/4'
'-x+1/2,y+3/4,z+1/4'
'-x+3/4,y+1/2,-z+1/4'
'x+3/4,-y+1/2,z+1/4'
loop_
_atom_site_label
_atom_site_type_symbol
_atom_site_fract_x
_atom_site_fract_y
_atom_site_fract_z
Na1 Na 0.000 0.000 0.000
Sn1 Sn 0.125 0.260 0.625
Pd1 Pd 0.125 0.125 0.459

Record 2
# PBE Na3Sn3Pd5, relaxed
# DOS at the Fermi energy: 0.6602 states/eV/atom
# DFT formation energy: -0.25 eV per atom
data_Na3Sn3Pd5
_chemical_formula_sum 'Na3 Sn3 Pd5'
_symmetry_space_group_name_H-M 'P -6 2 m'
_symmetry_Int_Tables_number 189
_symmetry_space_group_name_Hall 'P -6 -2'
_cell_length_a 8.0155
_cell_length_b 8.0155
_cell_length_c 5.5094
_cell_angle_alpha 90.00
_cell_angle_beta 90.00
_cell_angle_gamma 120.00
loop_
_atom_site_label
_atom_site_type_symbol
_atom_site_fract_x
_atom_site_fract_y
_atom_site_fract_z
Na1 Na 0.0000 0.6178 0.0000
Sn1 Sn 0.0000 0.3474 0.5000
Pd1 Pd 0.0000 0.6965 0.5000
Pd2 Pd 0.3333 0.6667 0.5000

Record 3
# PBE NaSnPd, relaxed
# DOS at the Fermi energy: 0.4320 states/eV/atom
# DFT formation energy: -0.34 eV per atom
data_NaSnPd
_chemical_formula_sum 'Na2 Sn2 Pd2'
_symmetry_space_group_name_H-M 'I 4 m m'
_symmetry_Int_Tables_number 107
_symmetry_space_group_name_Hall 'I 4 -2'
_cell_length_a 3.449
_cell_length_b 3.449
_cell_length_c 11.120
_cell_angle_alpha 90.00
_cell_angle_beta 90.00
_cell_angle_gamma 90.00
loop_
_atom_site_label
_atom_site_type_symbol
_atom_site_fract_x
_atom_site_fract_y
_atom_site_fract_z
Na1 Na 0.000 0.000 0.000
Sn1 Sn 0.000 0.000 0.705
Pd1 Pd 0.000 0.000 0.318

Record 4
# PBE NaSn2Pd2, relaxed
# DOS at the Fermi energy: 0.4149 states/eV/atom
# DFT formation energy: -0.31 eV per atom
data_NaSn2Pd2
_chemical_formula_sum 'Na2 Sn4 Pd4'
_symmetry_space_group_name_H-M 'I 4/m m m'
_symmetry_Int_Tables_number 139
_symmetry_space_group_name_Hall '-I 4 2'
_cell_length_a 4.638
_cell_length_b 4.638
_cell_length_c 10.920
_cell_angle_alpha 90.00
_cell_angle_beta 90.00
_cell_angle_gamma 90.00
loop_
_atom_site_label
_atom_site_type_symbol
_atom_site_fract_x
_atom_site_fract_y
_atom_site_fract_z
Na1 Na 0.000 0.000 0.000
Sn1 Sn 0.000 0.500 0.250
Pd1 Pd 0.000 0.000 0.377

Record 5
# PBE NaSn3Pd3, relaxed
# DOS at the Fermi energy: 0.4426 states/eV/atom
# DFT formation energy: -0.33 eV per atom
data_NaSn3Pd3
_chemical_formula_sum 'Na6 Sn18 Pd18'
_symmetry_space_group_name_H-M 'R -3'
_symmetry_Int_Tables_number 148
_symmetry_space_group_name_Hall '-R 3'
_cell_length_a 7.0339
_cell_length_b 7.0339
_cell_length_c 22.6441
_cell_angle_alpha 90.00
_cell_angle_beta 90.00
_cell_angle_gamma 120.00
loop_
_atom_site_label
_atom_site_type_symbol
_atom_site_fract_x
_atom_site_fract_y
_atom_site_fract_z
Na1 Na 0.0000 0.0000 0.1803
Sn1 Sn 0.0453 0.4355 0.2517
Pd1 Pd 0.0297 0.2546 0.7040

Record 6
# PBE NaSn6Pd12, relaxed
# DOS at the Fermi energy: 0.3013 states/eV/atom
# DFT formation energy: -0.38 eV per atom
data_NaSn6Pd12
_chemical_formula_sum 'Na3 Sn18 Pd36'
_symmetry_space_group_name_H-M 'R -3 m'
_symmetry_Int_Tables_number 166
_symmetry_space_group_name_Hall '-R 3 2"'
_cell_length_a 12.1301
_cell_length_b 12.1301
_cell_length_c 8.7882
_cell_angle_alpha 90.00
_cell_angle_beta 90.00
_cell_angle_gamma 120.00
loop_
_atom_site_label
_atom_site_type_symbol
_atom_site_fract_x
_atom_site_fract_y
_atom_site_fract_z
Na1 Na 0.0000 0.0000 0.0000
Sn1 Sn 0.0473 0.5236 0.2488
Pd1 Pd 0.0000 0.3831 0.5000
Pd2 Pd 0.0829 0.1658 0.3091

Record 7
# PBE NaSn2Pd, relaxed
# DOS at the Fermi energy: 0.4220 states/eV/atom
# DFT formation energy: -0.36 eV per atom
data_NaSn2Pd
_chemical_formula_sum 'Na3 Sn6 Pd3'
_symmetry_space_group_name_H-M 'R 3 m'
_symmetry_Int_Tables_number 160
_symmetry_space_group_name_Hall 'R 3 -2"'
_cell_length_a 4.5542
_cell_length_b 4.5542
_cell_length_c 16.6661
_cell_angle_alpha 90.00
_cell_angle_beta 90.00
_cell_angle_gamma 120.00
loop_
_atom_site_label
_atom_site_type_symbol
_atom_site_fract_x
_atom_site_fract_y
_atom_site_fract_z
Na1 Na 0.0000 0.0000 0.0000
Sn1 Sn 0.0000 0.0000 0.5603
Sn2 Sn 0.0000 0.0000 0.7845
Pd1 Pd 0.0000 0.0000 0.1795

Record 8
# PBE NaSn4Pd, relaxed
# DOS at the Fermi energy: 0.3343 states/eV/atom
# DFT formation energy: -0.21 eV per atom
data_NaSn4Pd
_chemical_formula_sum 'Na2 Sn8 Pd2'
_symmetry_space_group_name_H-M 'P -1'
_symmetry_Int_Tables_number 2
_cell_length_a 4.602
_cell_length_b 8.164
_cell_length_c 8.921
_cell_angle_alpha 73.51
_cell_angle_beta 75.18
_cell_angle_gamma 89.99
loop_
_symmetry_equiv_pos_as_xyz
'x,y,z'
'-x,-y,-z'
loop_
_atom_site_label
_atom_site_type_symbol
_atom_site_fract_x
_atom_site_fract_y
_atom_site_fract_z
Na1 Na 0.183 0.281 0.133
Sn1 Sn 0.037 0.847 0.427
Sn2 Sn 0.179 0.688 0.151
Sn3 Sn 0.330 0.041 0.836
Sn4 Sn 0.427 0.596 0.646
Pd1 Pd 0.000 0.500 0.500
Pd2 Pd 0.500 0.000 0.500

Record 9
# PBE Na3Sn6Pd5, relaxed
# DOS at the Fermi energy: 0.3024 states/eV/atom
# DFT formation energy: -0.42 eV per atom
data_Na3Sn6Pd5
_chemical_formula_sum 'Na6 Sn12 Pd10'
_symmetry_space_group_name_H-M 'P m m n'
_symmetry_Int_Tables_number 59
_cell_length_a 4.448
_cell_length_b 13.733
_cell_length_c 9.929
_cell_angle_alpha 90.00
_cell_angle_beta 90.00
_cell_angle_gamma 90.00
loop_
_symmetry_equiv_pos_as_xyz
'x,y,z'
'-x,-y,-z'
'-x+1/2,-y+1/2,z'
'x+1/2,y+1/2,-z'
'x+1/2,-y,-z'
'-x+1/2,y,z'
'-x,y+1/2,-z'
'x,-y+1/2,z'
loop_
_atom_site_label
_atom_site_type_symbol
_atom_site_fract_x
_atom_site_fract_y
_atom_site_fract_z
Na1 Na 0.250 0.045 0.248
Na2 Na 0.250 0.750 0.275
Sn1 Sn 0.250 0.067 0.583
Sn2 Sn 0.250 0.250 0.026
Sn3 Sn 0.250 0.250 0.378
Sn4 Sn 0.250 0.590 0.984
Pd1 Pd 0.250 0.092 0.856
Pd2 Pd 0.250 0.637 0.554
Pd3 Pd 0.250 0.750 0.804

Record 10
# PBE NaSr2Sn3Pd4, relaxed
# DOS at the Fermi energy: 0.4028 states/eV/atom
# DFT formation energy: -0.64 eV per atom
data_NaSr2Sn3Pd4
_chemical_formula_sum 'Na1 Sr2 Sn3 Pd4'
_symmetry_space_group_name_H-M 'P -4 m 2'
_symmetry_Int_Tables_number 115
_cell_length_a 4.709
_cell_length_b 4.709
_cell_length_c 10.798
_cell_angle_alpha 90.00
_cell_angle_beta 90.00
_cell_angle_gamma 90.00
loop_
_symmetry_equiv_pos_as_xyz
'x,y,z'
'y,-x,-z'
'-x,-y,z'
'-y,x,-z'
'-x,y,z'
'-y,-x,-z'
'x,-y,z'
'y,x,-z'
loop_
_atom_site_label
_atom_site_type_symbol
_atom_site_fract_x
_atom_site_fract_y
_atom_site_fract_z
Na1 Na 0.000 0.000 0.000
Sr1 Sr 0.000 0.500 0.742
Sn1 Sn 0.000 0.500 0.380
Sn2 Sn 0.500 0.500 0.000
Pd1 Pd 0.000 0.000 0.500
Pd2 Pd 0.000 0.500 0.136
Pd3 Pd 0.500 0.500 0.500

Record 11
# PBE NaTiSnPd2, relaxed
# DOS at the Fermi energy: 1.4979 states/eV/atom
# DFT formation energy: 0.53 eV per atom
data_NaTiSnPd2
_chemical_formula_sum 'Na1 Ti1 Sn1 Pd2'
_symmetry_space_group_name_H-M 'P 4/m m m'
_symmetry_Int_Tables_number 123
_symmetry_space_group_name_Hall '-P 4 2'
_cell_length_a 5.067
_cell_length_b 5.067
_cell_length_c 5.125
_cell_angle_alpha 90.00
_cell_angle_beta 90.00
_cell_angle_gamma 90.00
loop_
_atom_site_label
_atom_site_type_symbol
_atom_site_fract_x
_atom_site_fract_y
_atom_site_fract_z
Na1 Na 0.000 0.000 0.000
Ti1 Ti 0.500 0.500 0.000
Sn1 Sn 0.500 0.500 0.500
Pd1 Pd 0.000 0.500 0.500

Record 12
# PBE NaTlSnPd, relaxed
# DOS at the Fermi energy: 0.7935 states/eV/atom
# DFT formation energy: -0.16 eV per atom
data_NaTlSnPd
_chemical_formula_sum 'Na4 Tl4 Sn4 Pd4'
_symmetry_space_group_name_H-M 'F -4 3 m'
_symmetry_Int_Tables_number 216
_symmetry_space_group_name_Hall 'F -4 2 3'
_cell_length_a 7.014
_cell_length_b 7.014
_cell_length_c 7.014
_cell_angle_alpha 90.00
_cell_angle_beta 90.00
_cell_angle_gamma 90.00
loop_
_atom_site_label
_atom_site_type_symbol
_atom_site_fract_x
_atom_site_fract_y
_atom_site_fract_z
Na1 Na 0.000 0.000 0.000
Tl1 Tl 0.250 0.250 0.250
Sn1 Sn 0.250 0.250 0.750
Pd1 Pd 0.000 0.000 0.500

Record 13
# PBE NaSnPdW2, relaxed
# DOS at the Fermi energy: 1.3169 states/eV/atom
# DFT formation energy: 1.78 eV per atom
data_NaSnPdW2
_chemical_formula_sum 'Na1 Sn1 Pd1 W2'
_symmetry_space_group_name_H-M 'P 4/m m m'
_symmetry_Int_Tables_number 123
_symmetry_space_group_name_Hall '-P 4 2'
_cell_length_a 4.927
_cell_length_b 4.927
_cell_length_c 5.063
_cell_angle_alpha 90.00
_cell_angle_beta 90.00
_cell_angle_gamma 90.00
loop_
_atom_site_label
_atom_site_type_symbol
_atom_site_fract_x
_atom_site_fract_y
_atom_site_fract_z
Na1 Na 0.000 0.000 0.000
Sn1 Sn 0.500 0.500 0.000
Pd1 Pd 0.500 0.500 0.500
W1 W 0.000 0.500 0.500

Record 14
# PBE NaYSnPd2, relaxed
# DOS at the Fermi energy: 0.6684 states/eV/atom
# DFT formation energy: 0.33 eV per atom
data_NaYSnPd2
_chemical_formula_sum 'Na1 Y1 Sn1 Pd2'
_symmetry_space_group_name_H-M 'P 4/m m m'
_symmetry_Int_Tables_number 123
_symmetry_space_group_name_Hall '-P 4 2'
_cell_length_a 5.155
_cell_length_b 5.155
_cell_length_c 5.896
_cell_angle_alpha 90.00
_cell_angle_beta 90.00
_cell_angle_gamma 90.00
loop_
_atom_site_label
_atom_site_type_symbol
_atom_site_fract_x
_atom_site_fract_y
_atom_site_fract_z
Na1 Na 0.000 0.000 0.000
Y1 Y 0.500 0.500 0.500
Sn1 Sn 0.500 0.500 0.000
Pd1 Pd 0.000 0.500 0.500

Record 15
# PBE NaYSnPd, relaxed
# DOS at the Fermi energy: 0.3070 states/eV/atom
# DFT formation energy: -0.44 eV per atom
data_NaYSnPd
_chemical_formula_sum 'Na4 Y4 Sn4 Pd4'
_symmetry_space_group_name_H-M 'F -4 3 m'
_symmetry_Int_Tables_number 216
_symmetry_space_group_name_Hall 'F -4 2 3'
_cell_length_a 7.164
_cell_length_b 7.164
_cell_length_c 7.164
_cell_angle_alpha 90.00
_cell_angle_beta 90.00
_cell_angle_gamma 90.00
loop_
_atom_site_label
_atom_site_type_symbol
_atom_site_fract_x
_atom_site_fract_y
_atom_site_fract_z
Na1 Na 0.000 0.000 0.000
Y1 Y 0.000 0.000 0.500
Sn1 Sn 0.250 0.250 0.750
Pd1 Pd 0.250 0.250 0.250

Record 16
# PBE Na2Zn2SnPd5, relaxed
# DOS at the Fermi energy: 0.3817 states/eV/atom
# DFT formation energy: -0.39 eV per atom
data_Na2Zn2SnPd5
_chemical_formula_sum 'Na4 Zn4 Sn2 Pd10'
_symmetry_space_group_name_H-M 'P 4/m b m'
_symmetry_Int_Tables_number 127
_symmetry_space_group_name_Hall '-P 4 2ab'
_cell_length_a 9.678
_cell_length_b 9.678
_cell_length_c 3.746
_cell_angle_alpha 90.00
_cell_angle_beta 90.00
_cell_angle_gamma 90.00
loop_
_atom_site_label
_atom_site_type_symbol
_atom_site_fract_x
_atom_site_fract_y
_atom_site_fract_z
Na1 Na 0.173 0.327 0.000
Zn1 Zn 0.126 0.626 0.000
Sn1 Sn 0.000 0.000 0.000
Pd1 Pd 0.000 0.500 0.500
Pd2 Pd 0.066 0.796 0.500

Record 17
# PBE NaSr2Pd2, relaxed
# DOS at the Fermi energy: 0.3930 states/eV/atom
# DFT formation energy: -0.28 eV per atom
data_NaSr2Pd2
_chemical_formula_sum 'Na2 Sr4 Pd4'
_symmetry_space_group_name_H-M 'I 4/m m m'
_symmetry_Int_Tables_number 139
_symmetry_space_group_name_Hall '-I 4 2'
_cell_length_a 5.859
_cell_length_b 5.859
_cell_length_c 8.919
_cell_angle_alpha 90.00
_cell_angle_beta 90.00
_cell_angle_gamma 90.00
loop_
_atom_site_label
_atom_site_type_symbol
_atom_site_fract_x
_atom_site_fract_y
_atom_site_fract_z
Na1 Na 0.000 0.000 0.000
Sr1 Sr 0.000 0.500 0.250
Pd1 Pd 0.000 0.000 0.351

Record 18
# PBE NaSr4Pd2, relaxed
# DOS at the Fermi energy: 0.5783 states/eV/atom
# DFT formation energy: -0.31 eV per atom
data_NaSr4Pd2
_chemical_formula_sum 'Na2 Sr8 Pd4'
_symmetry_space_group_name_H-M 'P 1'
_symmetry_Int_Tables_number 1
_cell_length_a 8.236
_cell_length_b 8.259
_cell_length_c 8.420
_cell_angle_alpha 107.82
_cell_angle_beta 96.41
_cell_angle_gamma 104.15
loop_
_symmetry_equiv_pos_as_xyz
'x,y,z'
loop_
_atom_site_label
_atom_site_type_symbol
_atom_site_fract_x
_atom_site_fract_y
_atom_site_fract_z
Na1 Na 0.000 0.000 0.000
Na2 Na 0.006 0.486 0.983
Sr1 Sr 0.230 0.849 0.339
Sr2 Sr 0.268 0.243 0.715
Sr3 Sr 0.268 0.768 0.782
Sr4 Sr 0.375 0.351 0.243
Sr5 Sr 0.698 0.581 0.724
Sr6 Sr 0.704 0.810 0.262
Sr7 Sr 0.711 0.090 0.734
Sr8 Sr 0.860 0.381 0.332
Pd1 Pd 0.485 0.721 0.515
Pd2 Pd 0.546 0.181 0.455
Pd3 Pd 0.629 0.410 0.004
Pd4 Pd 0.969 0.845 0.594

Record 19
# PBE NaSr12Pd5, relaxed
# DOS at the Fermi energy: 0.7009 states/eV/atom
# DFT formation energy: -0.37 eV per atom
data_NaSr12Pd5
_chemical_formula_sum 'Na2 Sr24 Pd10'
_symmetry_space_group_name_H-M 'I m m m'
_symmetry_Int_Tables_number 71
_symmetry_space_group_name_Hall '-I 2 2'
_cell_length_a 10.549
_cell_length_b 11.047
_cell_length_c 11.580
_cell_angle_alpha 90.00
_cell_angle_beta 90.00
_cell_angle_gamma 90.00
loop_
_atom_site_label
_atom_site_type_symbol
_atom_site_fract_x
_atom_site_fract_y
_atom_site_fract_z
Na1 Na 0.000 0.000 0.000
Sr1 Sr 0.000 0.189 0.296
Sr2 Sr 0.184 0.500 0.325
Sr3 Sr 0.205 0.326 0.000
Pd1 Pd 0.000 0.000 0.500
Pd2 Pd 0.000 0.367 0.500
Pd3 Pd 0.000 0.500 0.120

Record 20
# PBE Na2SrPd6, relaxed
# DOS at the Fermi energy: 1.2012 states/eV/atom
# DFT formation energy: 0.19 eV per atom
data_Na2SrPd6
_chemical_formula_sum 'Na8 Sr4 Pd24'
_symmetry_space_group_name_H-M 'F m -3 m'
_symmetry_Int_Tables_number 225
_symmetry_space_group_name_Hall '-F 4 2 3'
_cell_length_a 9.317
_cell_length_b 9.317
_cell_length_c 9.317
_cell_angle_alpha 90.00
_cell_angle_beta 90.00
_cell_angle_gamma 90.00
loop_
_atom_site_label
_atom_site_type_symbol
_atom_site_fract_x
_atom_site_fract_y
_atom_site_fract_z
Na1 Na 0.250 0.250 0.250
Sr1 Sr 0.000 0.000 0.000
Pd1 Pd 0.000 0.000 0.294

Record 21
# PBE Na3Sr6Pd, relaxed
# DOS at the Fermi energy: 0.6833 states/eV/atom
# DFT formation energy: -0.13 eV per atom
data_Na3Sr6Pd
_chemical_formula_sum 'Na18 Sr36 Pd6'
_symmetry_space_group_name_H-M 'R -3 m'
_symmetry_Int_Tables_number 166
_symmetry_space_group_name_Hall '-R 3 2"'
_cell_length_a 12.5900
_cell_length_b 12.5900
_cell_length_c 20.2875
_cell_angle_alpha 90.00
_cell_angle_beta 90.00
_cell_angle_gamma 120.00
loop_
_atom_site_label
_atom_site_type_symbol
_atom_site_fract_x
_atom_site_fract_y
_atom_site_fract_z
Na1 Na 0.1109 0.2218 0.2516
Sr1 Sr 0.1084 0.5542 0.2510
Sr2 Sr 0.1110 0.2220 0.9129
Pd1 Pd 0.0000 0.0000 0.0000
Pd2 Pd 0.0000 0.0000 0.5000

Record 22
# PBE NaSr2Pd2, relaxed
# DOS at the Fermi energy: 0.6822 states/eV/atom
# DFT formation energy: -0.22 eV per atom
data_NaSr2Pd2
_chemical_formula_sum 'Na2 Sr4 Pd4'
_symmetry_space_group_name_H-M 'I 4/m m m'
_symmetry_Int_Tables_number 139
_symmetry_space_group_name_Hall '-I 4 2'
_cell_length_a 4.024
_cell_length_b 4.024
_cell_length_c 20.305
_cell_angle_alpha 90.00
_cell_angle_beta 90.00
_cell_angle_gamma 90.00
loop_
_atom_site_label
_atom_site_type_symbol
_atom_site_fract_x
_atom_site_fract_y
_atom_site_fract_z
Na1 Na 0.000 0.000 0.000
Sr1 Sr 0.000 0.000 0.360
Pd1 Pd 0.000 0.500 0.250